No. 1
Entry from Alexandria: a relaxed Zn4Os crystal (GGA-PBE).

- Formation energy: 0.434 eV per atom
- Relative energy among the computed polymorphs: 0.354 eV per atom
- Total magnetization: 0.000 μB per cell

abc: 7.006 7.006 7.006
angles: 152.06 152.06 39.92
Atoms (fractional coordinates):
1 Zn 0.750 0.250 0.500
2 Zn 0.593 0.593 0.000
3 Zn 0.407 0.407 0.000
4 Zn 0.250 0.750 0.500
5 Os 0.000 0.000 0.000

=====

No. 2
Entry from Alexandria: a relaxed ZnOs2 crystal (GGA-PBE).

- Formation energy: 0.408 eV per atom
- Relative energy among the computed polymorphs: 0.275 eV per atom
- Total magnetization: 0.000 μB per cell

abc: 5.455 3.817 8.266
angles: 90.00 90.00 90.00
Atoms (fractional coordinates):
1 Zn 0.109 0.250 0.915
2 Zn 0.391 0.750 0.415
3 Zn 0.609 0.250 0.585
4 Zn 0.891 0.750 0.085
5 Os 0.134 0.250 0.262
6 Os 0.117 0.250 0.582
7 Os 0.383 0.750 0.082
8 Os 0.366 0.750 0.762
9 Os 0.634 0.250 0.238
10 Os 0.617 0.250 0.918
11 Os 0.883 0.750 0.418
12 Os 0.866 0.750 0.738

=====

No. 3
Entry from Alexandria: a relaxed ZnOs2 crystal (GGA-PBE).

- Formation energy: 0.555 eV per atom
- Relative energy among the computed polymorphs: 0.421 eV per atom
- Total magnetization: 0.000 μB per cell

abc: 12.407 12.407 12.407
angles: 167.49 167.49 17.73
Atoms (fractional coordinates):
1 Zn 0.750 0.250 0.500
2 Zn 0.000 0.000 0.000
3 Os 0.582 0.582 0.000
4 Os 0.418 0.418 0.000
5 Os 0.332 0.832 0.500
6 Os 0.168 0.668 0.500

=====

No. 4
Entry from Alexandria: a relaxed ZnOs2 crystal (GGA-PBE).

- Formation energy: 0.740 eV per atom
- Relative energy among the computed polymorphs: 0.607 eV per atom
- Total magnetization: 0.007 μB per cell

abc: 5.154 5.154 5.154
angles: 60.00 60.00 60.00
Atoms (fractional coordinates):
1 Zn 0.000 0.000 0.000
2 Zn 0.250 0.250 0.250
3 Os 0.625 0.625 0.625
4 Os 0.125 0.625 0.625
5 Os 0.625 0.125 0.625
6 Os 0.625 0.625 0.125

=====

No. 5
Entry from Alexandria: a relaxed ZnOs2 crystal (GGA-PBE).

- Formation energy: 1.369 eV per atom
- Relative energy among the computed polymorphs: 1.236 eV per atom
- Total magnetization: 0.000 μB per cell

abc: 4.369 4.369 2.588
angles: 90.00 90.00 90.00
Atoms (fractional coordinates):
1 Os 0.000 0.500 0.500
2 Os 0.500 0.000 0.500
3 Zn 0.000 0.000 0.000

=====

No. 6
Entry from Alexandria: a relaxed ZnOs2 crystal (GGA-PBE).

- Formation energy: 0.133 eV per atom
- Relative energy among the computed polymorphs: 0.000 eV per atom
- Total magnetization: 0.000 μB per cell

abc: 5.903 5.903 5.903
angles: 152.70 152.70 38.99
Atoms (fractional coordinates):
1 Os 0.007 0.007 0.000
2 Os 0.660 0.660 0.000
3 Zn 0.333 0.333 0.000

=====

No. 7
Entry from Alexandria: a relaxed ZnOs2 crystal (GGA-PBE).

- Formation energy: 0.840 eV per atom
- Relative energy among the computed polymorphs: 0.707 eV per atom
- Total magnetization: 0.000 μB per cell

abc: 6.240 6.240 3.899
angles: 90.00 90.00 120.00
Atoms (fractional coordinates):
1 Zn 0.000 0.000 0.500
2 Zn 0.333 0.667 0.000
3 Zn 0.667 0.333 0.000
4 Os 0.000 0.242 0.000
5 Os 0.000 0.566 0.500
6 Os 0.242 0.000 0.000
7 Os 0.758 0.758 0.000
8 Os 0.566 0.000 0.500
9 Os 0.434 0.434 0.500

=====

No. 8
Entry from Alexandria: a relaxed Zn4Os5 crystal (GGA-PBE).

- Formation energy: 0.547 eV per atom
- Relative energy among the computed polymorphs: 0.118 eV per atom
- Total magnetization: 0.000 μB per cell

abc: 7.611 7.611 5.094
angles: 90.00 90.00 60.00
Atoms (fractional coordinates):
1 Zn 0.000 0.000 0.000
2 Zn 0.000 0.000 0.500
3 Zn 0.647 0.353 0.250
4 Zn 0.000 0.647 0.250
5 Zn 0.353 0.000 0.250
6 Zn 0.353 0.647 0.750
7 Zn 0.000 0.353 0.750
8 Zn 0.647 0.000 0.750
9 Os 0.315 0.685 0.250
10 Os 0.000 0.315 0.250
11 Os 0.685 0.000 0.250
12 Os 0.685 0.315 0.750
13 Os 0.000 0.685 0.750
14 Os 0.315 0.000 0.750
15 Os 0.333 0.333 0.000
16 Os 0.667 0.667 0.500
17 Os 0.667 0.667 0.000
18 Os 0.333 0.333 0.500

=====

No. 9
Entry from Alexandria: a relaxed Zn5Os4 crystal (GGA-PBE).

- Formation energy: 0.196 eV per atom
- Relative energy among the computed polymorphs: 0.000 eV per atom
- Total magnetization: 0.000 μB per cell

abc: 5.991 5.991 5.991
angles: 96.36 96.36 141.13
Atoms (fractional coordinates):
1 Zn 0.000 0.000 0.000
2 Zn 0.333 0.333 0.665
3 Zn 0.333 0.667 0.000
4 Zn 0.667 0.333 0.000
5 Zn 0.667 0.667 0.335
6 Os 0.000 0.337 0.337
7 Os 0.000 0.663 0.663
8 Os 0.337 0.000 0.337
9 Os 0.663 0.000 0.663

=====

No. 10
Entry from Alexandria: a relaxed Zn15Os crystal (GGA-PBE).

- Formation energy: 0.014 eV per atom
- Total magnetization: 0.000 μB per cell

abc: 5.406 5.406 9.335
angles: 90.00 90.00 120.00
Atoms (fractional coordinates):
1 Zn 0.000 0.000 0.500
2 Zn 0.007 0.503 0.000
3 Zn 0.993 0.496 0.500
4 Zn 0.497 0.993 0.000
5 Zn 0.504 0.007 0.500
6 Zn 0.497 0.503 0.000
7 Zn 0.504 0.496 0.500
8 Zn 0.834 0.166 0.240
9 Zn 0.834 0.166 0.760
10 Zn 0.834 0.668 0.240
11 Zn 0.834 0.668 0.760
12 Zn 0.332 0.166 0.240
13 Zn 0.332 0.166 0.760
14 Zn 0.333 0.667 0.270
15 Zn 0.333 0.667 0.730
16 Os 0.000 0.000 0.000

=====

No. 11
Entry from Alexandria: a relaxed ZnOs2 crystal (GGA-PBE).

- Formation energy: 0.549 eV per atom
- Relative energy among the computed polymorphs: 0.416 eV per atom
- Total magnetization: 0.000 μB per cell

abc: 5.165 5.165 8.280
angles: 90.00 90.00 60.00
Atoms (fractional coordinates):
1 Zn 0.667 0.667 0.073
2 Zn 0.667 0.667 0.427
3 Zn 0.333 0.333 0.573
4 Zn 0.333 0.333 0.927
5 Os 0.000 0.000 0.000
6 Os 0.000 0.000 0.500
7 Os 0.825 0.351 0.750
8 Os 0.351 0.825 0.750
9 Os 0.175 0.175 0.250
10 Os 0.825 0.825 0.750
11 Os 0.649 0.175 0.250
12 Os 0.175 0.649 0.250

=====

No. 12
Entry from Alexandria: a relaxed ZnOs2 crystal (GGA-PBE).

- Formation energy: 0.458 eV per atom
- Relative energy among the computed polymorphs: 0.325 eV per atom
- Total magnetization: 0.000 μB per cell

abc: 3.881 3.881 11.756
angles: 99.50 99.50 90.00
Atoms (fractional coordinates):
1 Zn 0.082 0.082 0.164
2 Zn 0.918 0.918 0.836
3 Zn 0.332 0.832 0.664
4 Zn 0.168 0.668 0.336
5 Os 0.244 0.244 0.487
6 Os 0.756 0.756 0.513
7 Os 0.494 0.994 0.987
8 Os 0.006 0.506 0.013
9 Os 0.416 0.416 0.831
10 Os 0.584 0.584 0.169
11 Os 0.666 0.166 0.331
12 Os 0.834 0.334 0.669

=====

Number 1: DOS at the Fermi energy 0.298 states/eV per atom. Number 2: DOS at the Fermi energy 1.058 states/eV per atom. Number 3: DOS at the Fermi energy 1.088 states/eV per atom. Number 4: DOS at the Fermi energy 1.348 states/eV per atom. Number 5: DOS at the Fermi energy 1.334 states/eV per atom. Number 6: DOS at the Fermi energy 0.675 states/eV per atom. Number 7: DOS at the Fermi energy 1.115 states/eV per atom. Number 8: DOS at the Fermi energy 1.014 states/eV per atom. Number 9: DOS at the Fermi energy 0.521 states/eV per atom. Number 10: DOS at the Fermi energy 0.349 states/eV per atom. Number 11: DOS at the Fermi energy 0.912 states/eV per atom. Number 12: DOS at the Fermi energy 1.050 states/eV per atom.